(1)
Computed, not measured: a relaxed structure of Ti2CuPt4 at the PBE level of DFT.

a b c (Å): 6.474 5.206 7.282
angles (deg): 90.00 115.37 90.00
Sites, in units of the cell vectors:
Pt1 0.942 0.250 0.177
Cu1 0.754 0.250 0.788
Ti1 0.655 0.750 0.565
Pt2 0.410 0.505 0.766
Pt3 0.590 0.495 0.234
Ti2 0.802 0.750 0.021
Pt4 0.058 0.750 0.823
Cu2 0.246 0.750 0.212
Pt5 0.034 0.750 0.427
Ti3 0.198 0.250 0.979
Ti4 0.345 0.250 0.435
Pt6 0.410 0.995 0.766
Pt7 0.966 0.250 0.573
Pt8 0.590 0.005 0.234

As for the calculated total energy: -6.86 eV/atom.

(2)
Computed, not measured: a relaxed structure of Ti2Cu2Pt3 at the PBE level of DFT.

a b c (Å): 4.646 4.642 7.433
angles (deg): 95.12 112.45 128.63
Sites, in units of the cell vectors:
Cu1 0.433 0.699 0.567
Ti1 0.130 0.535 0.832
Ti2 0.870 0.465 0.168
Pt1 0.000 0.000 0.000
Cu2 0.567 0.301 0.433
Pt2 0.675 0.866 0.271
Pt3 0.325 0.134 0.729

As for the calculated total energy: -6.66 eV/atom.